[1]
The following is a DFT calculation (SCAN) of a crystal of BaTiIr2 relaxed with PBEsol.

The calculated total energy is -49.052 eV/atom. As for the space-group type: Fm-3m (225). The value obtained for the formation energy is 37.8 kJ per mole of atoms. The calculation puts the total magnetic moment at 0.000 Bohr magnetons per cell. The calculation puts the calculated density at 12.29 g/cm3.

Cell and atoms, written as CIF:
```
data_BaTiIr2
_cell_length_a 4.774
_cell_length_b 4.774
_cell_length_c 4.774
_cell_angle_alpha 60.00
_cell_angle_beta 60.00
_cell_angle_gamma 60.00
_symmetry_space_group_name_H-M 'P 1'
_symmetry_Int_Tables_number 1
_symmetry_space_group_name_Hall 'P 1'
loop_
_atom_site_label
_atom_site_fract_x
_atom_site_fract_y
_atom_site_fract_z
_atom_site_occupancy
Ba1 0.000 0.000 0.000 1
Ti1 0.500 0.500 0.500 1
Ir1 0.250 0.250 0.250 1
Ir2 0.750 0.750 0.750 1
```

[2]
The following is a DFT calculation (SCAN) of a crystal of LiSnOsPb2 relaxed with PBEsol.

The calculated total energy is -50.855 eV/atom. As for the space-group type: P4/mmm (123). The value obtained for the formation energy is 144.3 kJ per mole of atoms. The calculation puts the total magnetic moment at 2.314 Bohr magnetons per cell. The calculation puts the calculated density at 8.18 g/cm3.

Cell and atoms, written as CIF:
```
data_LiSnOsPb2
_cell_length_a 5.611
_cell_length_b 5.611
_cell_length_c 4.708
_cell_angle_alpha 90.00
_cell_angle_beta 90.00
_cell_angle_gamma 90.00
_symmetry_space_group_name_H-M 'P 1'
_symmetry_Int_Tables_number 1
_symmetry_space_group_name_Hall 'P 1'
loop_
_atom_site_label
_atom_site_fract_x
_atom_site_fract_y
_atom_site_fract_z
_atom_site_occupancy
Li1 0.000 0.000 0.000 1
Sn1 0.000 0.000 0.500 1
Os1 0.500 0.500 0.000 1
Pb1 0.000 0.500 0.500 1
Pb2 0.500 0.000 0.500 1
```

[3]
The following is a DFT calculation (SCAN) of a crystal of MnCSeBr2 relaxed with PBEsol.

The calculated total energy is -16.574 eV/atom. As for the space-group type: P4/mmm (123). The calculation puts the total magnetic moment at 5.145 Bohr magnetons per cell. The calculation puts the calculated density at 5.45 g/cm3. The calculation puts the uncorrected formation energy at 86.5 kJ/mol of atoms.

Cell and atoms, written as CIF:
```
data_MnCSeBr2
_cell_length_a 4.537
_cell_length_b 4.537
_cell_length_c 4.526
_cell_angle_alpha 90.00
_cell_angle_beta 90.00
_cell_angle_gamma 90.00
_symmetry_space_group_name_H-M 'P 1'
_symmetry_Int_Tables_number 1
_symmetry_space_group_name_Hall 'P 1'
loop_
_atom_site_label
_atom_site_fract_x
_atom_site_fract_y
_atom_site_fract_z
_atom_site_occupancy
Mn1 0.000 0.000 0.000 1
C1 0.500 0.500 0.500 1
Se1 0.500 0.500 0.000 1
Br1 0.000 0.500 0.500 1
Br2 0.500 0.000 0.500 1
```